First-principles (SCAN) data for CaPdAu2 at its PBEsol-relaxed geometry, as listed in Alexandria via LeMat-Bulk.

Geometry as CIF:
```
data_CaPdAu2
_chemical_formula_sum 'Ca4 Pd4 Au8'
_cell_length_a 6.668
_cell_length_b 6.668
_cell_length_c 6.668
_cell_angle_alpha 90.00
_cell_angle_beta 90.00
_cell_angle_gamma 90.00
_symmetry_space_group_name_H-M 'F m -3 m'
_symmetry_Int_Tables_number 225
_symmetry_space_group_name_Hall '-F 4 2 3'
loop_
_atom_site_label
_atom_site_type_symbol
_atom_site_fract_x
_atom_site_fract_y
_atom_site_fract_z
_atom_site_occupancy
Ca1 Ca 0.000 0.000 0.000 1
Pd1 Pd 0.000 0.000 0.500 1
Au1 Au 0.250 0.250 0.250 1
```

* N(E_F): 1.30 states/eV/f.u.
* ΔH_f (0 K): -0.572 eV/atom
* final energy: -45.7602 eV/atom